Entry 1:
A relaxed structure of NdNpTe. Source: Alexandria via LeMat-Bulk, functional GGA-PBE.

Values from the calculation:
SG: Cm, No. 8
E_form (uncorrected): -0.382 eV/atom
Fermi-level density of states: 10.70 states/eV per cell

abc: 3.602 5.878 8.555
angles: 110.94 90.00 107.84
Positions (direct):
Nd (0.645, 0.290, 0.151)
Nd (0.852, 0.704, 0.895)
Te (0.402, 0.805, 0.254)
Te (0.534, 0.069, 0.745)
Np (0.794, 0.587, 0.520)
Np (0.149, 0.298, 0.507)

Entry 2:
A relaxed structure of Ni2P. Source: Alexandria via LeMat-Bulk, functional GGA-PBE.

Values from the calculation:
energy relative to the elements: -0.33 eV/atom
SG: P-3m1, No. 164
Fermi-level density of states: 1.28 states/eV per cell

abc: 3.733 3.733 2.815
angles: 90.00 90.00 120.00
Positions (direct):
Ni (0.333, 0.667, 0.760)
Ni (0.667, 0.333, 0.240)
P (0.000, 0.000, 0.000)

Entry 3:
A relaxed structure of NbIn3Cu. Source: Alexandria via LeMat-Bulk, functional GGA-PBE.

Values from the calculation:
polymorph energy (0 for the lowest one): 107 kJ/mol of formula units
energy relative to the elements: 0.97 eV/atom
SG: Pm-3m, No. 221
Fermi-level density of states: 4.82 states/eV per cell

abc: 5.413 5.413 5.413
angles: 90.00 90.00 90.00
Positions (direct):
Cu (0.500, 0.500, 0.500)
In (0.000, 0.500, 0.000)
In (0.000, 0.000, 0.500)
In (0.500, 0.000, 0.000)
Nb (0.000, 0.000, 0.000)

Entry 4:
A relaxed structure of ThIn6Cu6. Source: Alexandria via LeMat-Bulk, functional GGA-PBE.

Values from the calculation:
energy relative to the elements: -0.10 eV/atom
SG: Immm, No. 71
Fermi-level density of states: 4.94 states/eV per cell

abc: 5.529 7.150 7.150
angles: 80.70 67.25 67.25
Positions (direct):
Cu (0.500, 0.500, 0.000)
Cu (0.500, 0.000, 0.500)
Cu (0.500, 0.234, 0.766)
Cu (0.500, 0.766, 0.234)
Cu (0.000, 0.500, 0.000)
Cu (0.000, 0.000, 0.500)
In (0.685, 0.815, 0.815)
In (0.000, 0.659, 0.341)
In (0.315, 0.185, 0.185)
In (0.655, 0.345, 0.345)
In (0.000, 0.341, 0.659)
In (0.345, 0.655, 0.655)
Th (0.000, 0.000, 0.000)

Entry 5:
A relaxed structure of YRe2F2. Source: Alexandria via LeMat-Bulk, functional GGA-PBE.

Values from the calculation:
polymorph energy (0 for the lowest one): 0 kJ/mol of formula units
SG: I4/mmm, No. 139
E_form (uncorrected): -0.634 eV/atom
Fermi-level density of states: 3.85 states/eV per cell

abc: 3.391 3.391 8.643
angles: 78.69 78.69 90.00
Positions (direct):
F (0.433, 0.433, 0.133)
F (0.567, 0.567, 0.867)
Re (0.750, 0.250, 0.500)
Re (0.250, 0.750, 0.500)
Y (0.000, 0.000, 0.000)

Entry 6:
A relaxed structure of Ba2NaInS. Source: Alexandria via LeMat-Bulk, functional GGA-PBE.

Values from the calculation:
SG: P4/mmm, No. 123
E_form (uncorrected): -0.802 eV/atom
Fermi-level density of states: 4.82 states/eV per cell

abc: 6.203 6.203 5.144
angles: 90.00 90.00 90.00
Positions (direct):
Ba (0.000, 0.500, 0.000)
Ba (0.500, 0.000, 0.000)
In (0.500, 0.500, 0.500)
Na (0.000, 0.000, 0.500)
S (0.000, 0.000, 0.000)

Entry 7:
A relaxed structure of Ca2AsCl. Source: Alexandria via LeMat-Bulk, functional GGA-PBE.

Values from the calculation:
SG: R3m, No. 160
E_form (uncorrected): -1.583 eV/atom

abc: 4.231 4.231 7.677
angles: 74.00 74.00 60.00
Positions (direct):
As (0.668, 0.668, 0.995)
Ca (0.266, 0.266, 0.202)
Ca (0.072, 0.072, 0.783)
Cl (0.493, 0.493, 0.520)

Entry 8:
A relaxed structure of Ac5Ni3H12. Source: Alexandria via LeMat-Bulk, functional GGA-PBE.

Values from the calculation:
SG: Ia-3d, No. 230
Fermi-level density of states: 36.40 states/eV per cell

abc: 11.459 11.459 11.459
angles: 109.47 109.47 109.47
Positions (direct):
Ac (0.125, 0.375, 0.250)
Ac (0.375, 0.125, 0.750)
Ac (0.000, 0.500, 0.000)
Ac (0.625, 0.875, 0.250)
Ac (0.500, 0.500, 0.500)
Ac (0.875, 0.625, 0.750)
Ac (0.625, 0.750, 0.875)
Ac (0.750, 0.625, 0.375)
Ac (0.500, 0.000, 0.000)
Ac (0.125, 0.750, 0.375)
Ac (0.000, 0.000, 0.500)
Ac (0.000, 0.500, 0.500)
Ac (0.500, 0.000, 0.500)
Ac (0.750, 0.125, 0.875)
Ac (0.250, 0.375, 0.625)
Ac (0.250, 0.875, 0.125)
Ac (0.875, 0.250, 0.625)
Ac (0.500, 0.500, 0.000)
Ac (0.375, 0.250, 0.125)
Ac (0.000, 0.000, 0.000)
H (0.640, 0.121, 0.402)
H (0.379, 0.781, 0.019)
H (0.098, 0.860, 0.879)
H (0.019, 0.281, 0.379)
H (0.519, 0.879, 0.781)
H (0.281, 0.261, 0.902)
H (0.519, 0.640, 0.239)
H (0.739, 0.019, 0.640)
H (0.261, 0.281, 0.402)
H (0.219, 0.598, 0.239)
H (0.598, 0.219, 0.739)
H (0.121, 0.481, 0.719)
H (0.719, 0.981, 0.121)
H (0.402, 0.621, 0.640)
H (0.981, 0.261, 0.860)
H (0.281, 0.019, 0.879)
H (0.621, 0.402, 0.140)
H (0.360, 0.879, 0.598)
H (0.019, 0.739, 0.140)
H (0.598, 0.379, 0.360)
H (0.860, 0.761, 0.981)
H (0.761, 0.860, 0.481)
H (0.121, 0.640, 0.902)
H (0.239, 0.140, 0.519)
H (0.379, 0.598, 0.860)
H (0.140, 0.902, 0.621)
H (0.640, 0.519, 0.739)
H (0.140, 0.239, 0.019)
H (0.239, 0.098, 0.219)
H (0.261, 0.981, 0.360)
H (0.781, 0.379, 0.519)
H (0.879, 0.519, 0.281)
H (0.621, 0.219, 0.981)
H (0.402, 0.781, 0.261)
H (0.360, 0.481, 0.261)
H (0.902, 0.140, 0.121)
H (0.098, 0.239, 0.719)
H (0.860, 0.098, 0.379)
H (0.761, 0.902, 0.781)
H (0.879, 0.360, 0.098)
H (0.481, 0.121, 0.219)
H (0.981, 0.719, 0.621)
H (0.719, 0.739, 0.098)
H (0.781, 0.402, 0.761)
H (0.481, 0.360, 0.761)
H (0.902, 0.761, 0.281)
H (0.219, 0.621, 0.481)
H (0.739, 0.719, 0.598)
Ni (0.875, 0.750, 0.125)
Ni (0.125, 0.250, 0.875)
Ni (0.875, 0.125, 0.250)
Ni (0.750, 0.375, 0.125)
Ni (0.625, 0.375, 0.750)
Ni (0.375, 0.625, 0.250)
Ni (0.250, 0.625, 0.875)
Ni (0.125, 0.875, 0.750)
Ni (0.250, 0.125, 0.375)
Ni (0.625, 0.250, 0.375)
Ni (0.375, 0.750, 0.625)
Ni (0.750, 0.875, 0.625)

Entry 9:
A relaxed structure of Pm2Ho5Te4. Source: Alexandria via LeMat-Bulk, functional GGA-PBE.

Values from the calculation:
SG: C2/m, No. 12
E_form (uncorrected): -0.507 eV/atom
Fermi-level density of states: 10.73 states/eV per cell

abc: 3.924 6.279 16.175
angles: 105.32 96.97 90.00
Positions (direct):
Ho (0.193, 0.990, 0.385)
Ho (0.150, 0.436, 0.299)
Ho (0.807, 0.010, 0.615)
Ho (0.850, 0.564, 0.701)
Ho (0.500, 0.000, 0.000)
Te (0.948, 0.664, 0.896)
Te (0.280, 0.321, 0.560)
Te (0.052, 0.336, 0.104)
Te (0.720, 0.679, 0.440)
Pm (0.081, 0.857, 0.161)
Pm (0.919, 0.143, 0.839)

Entry 10:
A relaxed structure of Y2HoPaN4. Source: Alexandria via LeMat-Bulk, functional GGA-PBE.

Values from the calculation:
SG: P2/m, No. 10
E_form (uncorrected): -1.709 eV/atom
Fermi-level density of states: 3.65 states/eV per cell

abc: 3.492 6.000 6.006
angles: 109.18 90.00 90.00
Positions (direct):
Ho (0.000, 0.000, 0.000)
N (0.500, 0.258, 0.238)
N (0.500, 0.742, 0.762)
N (0.000, 0.742, 0.240)
N (0.000, 0.258, 0.760)
Y (0.000, 0.500, 0.500)
Y (0.500, 0.000, 0.500)
Pa (0.500, 0.500, 0.000)

Entry 11:
A relaxed structure of CdSn2Sb2Au7. Source: Alexandria via LeMat-Bulk, functional GGA-PBE.

Values from the calculation:
SG: C2/m, No. 12
E_form (uncorrected): -0.068 eV/atom
Fermi-level density of states: 2.69 states/eV per cell

abc: 4.125 4.125 16.952
angles: 82.65 82.65 89.99
Positions (direct):
Au (0.429, 0.930, 0.133)
Au (0.500, 0.500, 0.000)
Au (0.930, 0.429, 0.133)
Au (0.295, 0.295, 0.408)
Au (0.571, 0.070, 0.867)
Au (0.705, 0.705, 0.592)
Au (0.070, 0.571, 0.867)
Sn (0.370, 0.370, 0.246)
Sn (0.630, 0.630, 0.754)
Cd (0.000, 0.000, 0.000)
Sb (0.784, 0.784, 0.428)
Sb (0.216, 0.216, 0.572)

Entry 12:
A relaxed structure of SmAl2Au. Source: Alexandria via LeMat-Bulk, functional GGA-PBE.

Values from the calculation:
energy relative to the elements: -0.60 eV/atom
SG: Pnma, No. 62
Fermi-level density of states: 3.46 states/eV per cell

abc: 5.816 6.915 8.207
angles: 90.00 90.00 90.00
Positions (direct):
Al (0.395, 0.945, 0.311)
Al (0.895, 0.055, 0.189)
Al (0.605, 0.445, 0.689)
Al (0.605, 0.055, 0.689)
Al (0.395, 0.555, 0.311)
Al (0.105, 0.555, 0.811)
Al (0.895, 0.445, 0.189)
Al (0.105, 0.945, 0.811)
Sm (0.376, 0.250, 0.034)
Sm (0.876, 0.750, 0.466)
Sm (0.124, 0.250, 0.534)
Sm (0.624, 0.750, 0.966)
Au (0.869, 0.250, 0.909)
Au (0.131, 0.750, 0.091)
Au (0.631, 0.250, 0.409)
Au (0.369, 0.750, 0.591)

Number 1: electronic total energy -44.0 eV/cell. Number 2: electronic total energy -18.0 eV/cell. Number 3: electronic total energy -17.5 eV/cell. Number 4: electronic total energy -49.7 eV/cell. Number 5: electronic total energy -38.3 eV/cell. Number 6: electronic total energy -16.0 eV/cell. Number 7: electronic total energy -16.8 eV/cell. Number 8: electronic total energy -327.7 eV/cell. Number 9: electronic total energy -50.5 eV/cell. Number 10: electronic total energy -74.0 eV/cell. Number 11: electronic total energy -40.9 eV/cell. Number 12: electronic total energy -71.5 eV/cell.